1.
DFT (PBE-GGA) results for a geometry-optimized La2Pm4Dy2Ho structure.

* formation energy: 0.0063 eV per atom
* DOS at the Fermi energy: 12.498 states/eV/f.u.
* total moment: 0.000 μB/atom

Unit cell a=19.006 b=3.673 c=9.732 alpha=90.00 beta=115.68 gamma=90.00
Space group C2/m (No. 12)
Symmetry-distinct sites (fractional):
1 La 0.165 0.000 0.498 [4 per cell]
2 Pm 0.019 0.000 0.835 [4 per cell]
3 Pm 0.186 0.500 0.835 [4 per cell]
4 Dy 0.147 0.500 0.165 [4 per cell]
5 Ho 0.000 0.500 0.500 [2 per cell]

2.
DFT (PBE-GGA) results for a geometry-optimized LaPmDyHo structure.

* formation energy: 0.1057 eV per atom
* DOS at the Fermi energy: 7.116 states/eV/f.u.
* total moment: 0.000 μB/atom

Unit cell a=12.514 b=5.937 c=3.791 alpha=90.00 beta=107.06 gamma=90.00
Space group Cm (No. 8)
Symmetry-distinct sites (fractional):
1 La 0.000 0.000 0.000 [2 per cell]
2 Pm 0.235 0.500 0.162 [2 per cell]
3 Dy 0.255 0.000 0.694 [2 per cell]
4 Ho 0.492 0.000 0.457 [2 per cell]

3.
DFT (PBE-GGA) results for a geometry-optimized LaPmDyHo structure.

* formation energy: 0.1052 eV per atom
* DOS at the Fermi energy: 7.670 states/eV/f.u.
* total moment: 0.000 μB/atom

Unit cell a=8.149 b=8.149 c=8.149 alpha=90.00 beta=90.00 gamma=90.00
Space group F-43m (No. 216)
Symmetry-distinct sites (fractional):
1 La 0.000 0.000 0.000 [4 per cell]
2 Pm 0.000 0.000 0.500 [4 per cell]
3 Dy 0.250 0.250 0.750 [4 per cell]
4 Ho 0.250 0.250 0.250 [4 per cell]

4.
DFT (PBE-GGA) results for a geometry-optimized La6PmDyHo2 structure.

* formation energy: 0.1929 eV per atom
* DOS at the Fermi energy: 18.871 states/eV/f.u.
* total moment: 0.000 μB/atom

Unit cell a=11.401 b=7.141 c=9.007 alpha=90.00 beta=103.66 gamma=90.00
Space group C2/m (No. 12)
Symmetry-distinct sites (fractional):
1 La 0.137 0.000 0.433 [4 per cell]
2 La 0.182 0.278 0.806 [8 per cell]
3 Pm 0.000 0.500 0.500 [2 per cell]
4 Dy 0.000 0.000 0.000 [2 per cell]
5 Ho 0.088 0.500 0.163 [4 per cell]

5.
DFT (PBE-GGA) results for a geometry-optimized La4Pm2Dy2Ho structure.

* formation energy: 0.0281 eV per atom
* DOS at the Fermi energy: 16.618 states/eV/f.u.
* total moment: 0.000 μB/atom

Unit cell a=15.569 b=5.199 c=8.123 alpha=90.00 beta=108.66 gamma=90.00
Space group C2/m (No. 12)
Symmetry-distinct sites (fractional):
1 La 0.054 0.000 0.329 [4 per cell]
2 La 0.223 0.500 0.331 [4 per cell]
3 Pm 0.112 0.500 0.671 [4 per cell]
4 Dy 0.167 0.000 0.000 [4 per cell]
5 Ho 0.000 0.500 0.000 [2 per cell]

6.
DFT (PBE-GGA) results for a geometry-optimized La6PmDy2Ho structure.

* formation energy: 0.1932 eV per atom
* DOS at the Fermi energy: 19.453 states/eV/f.u.
* total moment: 0.000 μB/atom

Unit cell a=11.434 b=7.092 c=9.074 alpha=90.00 beta=104.32 gamma=90.00
Space group C2/m (No. 12)
Symmetry-distinct sites (fractional):
1 La 0.135 0.000 0.429 [4 per cell]
2 La 0.185 0.278 0.806 [8 per cell]
3 Pm 0.000 0.500 0.500 [2 per cell]
4 Dy 0.084 0.500 0.165 [4 per cell]
5 Ho 0.000 0.000 0.000 [2 per cell]

Which value of formation energy does entry 4 give?
0.1929 eV per atom

What is the formula in the fifth record?
La4Pm2Dy2Ho

Repeat the sixth record exactly.
DFT (PBE-GGA) results for a geometry-optimized La6PmDy2Ho structure.

* formation energy: 0.1932 eV per atom
* DOS at the Fermi energy: 19.453 states/eV/f.u.
* total moment: 0.000 μB/atom

Unit cell a=11.434 b=7.092 c=9.074 alpha=90.00 beta=104.32 gamma=90.00
Space group C2/m (No. 12)
Symmetry-distinct sites (fractional):
1 La 0.135 0.000 0.429 [4 per cell]
2 La 0.185 0.278 0.806 [8 per cell]
3 Pm 0.000 0.500 0.500 [2 per cell]
4 Dy 0.084 0.500 0.165 [4 per cell]
5 Ho 0.000 0.000 0.000 [2 per cell]